No. 1
Below is a relaxed Mg4AlRh5 crystal, with properties calculated at the GGA-PBE level.

Calculated values
Volume ... 148.05 Å³ per cell
Total DFT energy (no corrections) ... -5.304 eV per atom
Calculated formation energy ... -617 meV per atom
Crystal system ... tetragonal
Total moment ... 0.00 Bohr magnetons per cell

```
data_Mg4AlRh5
_space_group_name_H-M_alt 'P 4/m m m'
_space_group_IT_number 123
_space_group_name_Hall '-P 4 2'
_cell_length_a 3.080
_cell_length_b 3.080
_cell_length_c 15.603
_cell_angle_alpha 90.00
_cell_angle_beta 90.00
_cell_angle_gamma 90.00
loop_
_atom_site_label
_atom_site_type_symbol
_atom_site_fract_x
_atom_site_fract_y
_atom_site_fract_z
Mg1 Mg 0.000 0.000 0.101
Mg2 Mg 0.000 0.000 0.303
Al1 Al 0.000 0.000 0.500
Rh1 Rh 0.500 0.500 0.000
Rh2 Rh 0.500 0.500 0.203
Rh3 Rh 0.500 0.500 0.408
```

***

No. 2
Below is a relaxed MgAlRuRh crystal, with properties calculated at the GGA-PBE level.

Calculated values
Volume ... 227.93 Å³ per cell
Total DFT energy (no corrections) ... -6.015 eV per atom
Calculated formation energy ... -523 meV per atom
Crystal system ... cubic
Total moment ... 0.00 Bohr magnetons per cell

```
data_MgAlRuRh
_space_group_name_H-M_alt 'F -4 3 m'
_space_group_IT_number 216
_space_group_name_Hall 'F -4 2 3'
_cell_length_a 6.108
_cell_length_b 6.108
_cell_length_c 6.108
_cell_angle_alpha 90.00
_cell_angle_beta 90.00
_cell_angle_gamma 90.00
loop_
_atom_site_label
_atom_site_type_symbol
_atom_site_fract_x
_atom_site_fract_y
_atom_site_fract_z
Mg1 Mg 0.000 0.000 0.000
Al1 Al 0.000 0.000 0.500
Ru1 Ru 0.250 0.250 0.250
Rh1 Rh 0.250 0.250 0.750
```

***

No. 3
Below is a relaxed MgAlRhS2 crystal, with properties calculated at the GGA-PBE level.

Calculated values
Volume ... 106.16 Å³ per cell
Total DFT energy (no corrections) ... -4.113 eV per atom
Formation energy (no corrections) ... 7.3 kJ per mole of atoms
Crystal system ... tetragonal
Total moment ... 0.00 Bohr magnetons per cell

```
data_MgAlRhS2
_space_group_name_H-M_alt 'P 4/m m m'
_space_group_IT_number 123
_space_group_name_Hall '-P 4 2'
_cell_length_a 4.864
_cell_length_b 4.864
_cell_length_c 4.487
_cell_angle_alpha 90.00
_cell_angle_beta 90.00
_cell_angle_gamma 90.00
loop_
_atom_site_label
_atom_site_type_symbol
_atom_site_fract_x
_atom_site_fract_y
_atom_site_fract_z
Mg1 Mg 0.000 0.000 0.000
Al1 Al 0.500 0.500 0.000
Rh1 Rh 0.500 0.500 0.500
S1 S 0.000 0.500 0.500
```

***

No. 4
Below is a relaxed SrMg2AlRh crystal, with properties calculated at the GGA-PBE level.

Calculated values
Volume ... 122.70 Å³ per cell
Total DFT energy (no corrections) ... -3.548 eV per atom
Calculated formation energy ... -355 meV per atom
Crystal system ... tetragonal
Total moment ... 0.00 Bohr magnetons per cell

```
data_SrMg2AlRh
_space_group_name_H-M_alt 'P 4/m m m'
_space_group_IT_number 123
_space_group_name_Hall '-P 4 2'
_cell_length_a 5.044
_cell_length_b 5.044
_cell_length_c 4.823
_cell_angle_alpha 90.00
_cell_angle_beta 90.00
_cell_angle_gamma 90.00
loop_
_atom_site_label
_atom_site_type_symbol
_atom_site_fract_x
_atom_site_fract_y
_atom_site_fract_z
Sr1 Sr 0.000 0.000 0.000
Mg1 Mg 0.000 0.500 0.500
Al1 Al 0.500 0.500 0.000
Rh1 Rh 0.500 0.500 0.500
```

***

No. 5
Below is a relaxed SrMgAl2Rh crystal, with properties calculated at the GGA-PBE level.

Calculated values
Energy above the most stable polymorph in this dataset ... 0 meV per atom
Volume ... 115.28 Å³ per cell
Total DFT energy (no corrections) ... -4.045 eV per atom
Calculated formation energy ... -423 meV per atom
Crystal system ... tetragonal
Total moment ... 0.00 Bohr magnetons per cell

```
data_SrMgAl2Rh
_space_group_name_H-M_alt 'P 4/m m m'
_space_group_IT_number 123
_space_group_name_Hall '-P 4 2'
_cell_length_a 4.804
_cell_length_b 4.804
_cell_length_c 4.996
_cell_angle_alpha 90.00
_cell_angle_beta 90.00
_cell_angle_gamma 90.00
loop_
_atom_site_label
_atom_site_type_symbol
_atom_site_fract_x
_atom_site_fract_y
_atom_site_fract_z
Sr1 Sr 0.000 0.000 0.000
Mg1 Mg 0.500 0.500 0.000
Al1 Al 0.000 0.500 0.500
Rh1 Rh 0.500 0.500 0.500
```

***

No. 6
Below is a relaxed SrMgAl2Rh crystal, with properties calculated at the GGA-PBE level.

Calculated values
Energy above the most stable polymorph in this dataset ... 783 meV per atom
Volume ... 122.34 Å³ per cell
Total DFT energy (no corrections) ... -3.262 eV per atom
Calculated formation energy ... 360 meV per atom
Crystal system ... tetragonal
Total moment ... 0.00 Bohr magnetons per cell

```
data_SrMgAl2Rh
_space_group_name_H-M_alt 'P 4/m m m'
_space_group_IT_number 123
_space_group_name_Hall '-P 4 2'
_cell_length_a 5.025
_cell_length_b 5.025
_cell_length_c 4.845
_cell_angle_alpha 90.00
_cell_angle_beta 90.00
_cell_angle_gamma 90.00
loop_
_atom_site_label
_atom_site_type_symbol
_atom_site_fract_x
_atom_site_fract_y
_atom_site_fract_z
Sr1 Sr 0.000 0.000 0.000
Mg1 Mg 0.500 0.500 0.500
Al1 Al 0.000 0.500 0.500
Rh1 Rh 0.500 0.500 0.000
```

***

No. 7
Below is a relaxed Tb2MgAl2Rh5 crystal, with properties calculated at the GGA-PBE level.

Calculated values
Volume ... 343.59 Å³ per cell
Total DFT energy (no corrections) ... -6.319 eV per atom
Calculated formation energy ... -810 meV per atom
Crystal system ... tetragonal
Total moment ... 0.00 Bohr magnetons per cell

```
data_Tb2MgAl2Rh5
_space_group_name_H-M_alt 'P 4/m b m'
_space_group_IT_number 127
_space_group_name_Hall '-P 4 2ab'
_cell_length_a 9.990
_cell_length_b 9.990
_cell_length_c 3.443
_cell_angle_alpha 90.00
_cell_angle_beta 90.00
_cell_angle_gamma 90.00
loop_
_atom_site_label
_atom_site_type_symbol
_atom_site_fract_x
_atom_site_fract_y
_atom_site_fract_z
Tb1 Tb 0.175 0.325 0.000
Mg1 Mg 0.000 0.000 0.000
Al1 Al 0.123 0.623 0.000
Rh1 Rh 0.000 0.500 0.500
Rh2 Rh 0.068 0.792 0.500
```

***

No. 8
Below is a relaxed MgAlTeRh2 crystal, with properties calculated at the GGA-PBE level.

Calculated values
Volume ... 123.36 Å³ per cell
Total DFT energy (no corrections) ... -3.950 eV per atom
Formation energy (no corrections) ... 66.2 kJ per mole of atoms
Crystal system ... tetragonal
Total moment ... 0.86 Bohr magnetons per cell

```
data_MgAlTeRh2
_space_group_name_H-M_alt 'P 4/m m m'
_space_group_IT_number 123
_space_group_name_Hall '-P 4 2'
_cell_length_a 4.921
_cell_length_b 4.921
_cell_length_c 5.094
_cell_angle_alpha 90.00
_cell_angle_beta 90.00
_cell_angle_gamma 90.00
loop_
_atom_site_label
_atom_site_type_symbol
_atom_site_fract_x
_atom_site_fract_y
_atom_site_fract_z
Mg1 Mg 0.000 0.000 0.000
Al1 Al 0.500 0.500 0.000
Te1 Te 0.000 0.000 0.500
Rh1 Rh 0.000 0.500 0.500
```